The following is a DFT calculation (GGA-PBE) of an optimized crystal structure of NbTl2P.

Lattice parameters (Å, degrees): 8.0630 8.0630 6.3467 50.56 50.56 90.00
Site moments in Bohr magnetons follow the coordinates.
Atoms (fractional coordinates):
1 Nb 0.7500 0.2500 0.5000  0.53
2 Nb 0.0000 0.0000 0.0000  0.53
3 Tl 0.6049 0.1250 0.2500  0.00
4 Tl 0.1451 0.6250 0.2500  0.01
5 Tl 0.8750 0.8549 0.7500  0.01
6 Tl 0.3750 0.3951 0.7500  0.00
7 P 0.2500 0.7500 0.5000  0.01
8 P 0.5000 0.5000 0.0000  0.01

Results
Its space group is No. 122. The value obtained for the formation energy is 0.70 eV per atom. The value obtained for the total magnetization is 0.7 μB per formula unit. The crystal system is tetragonal. The density of states at the Fermi level comes out at 4.1 states/eV/f.u. Its density is 9.76 g cm⁻³. The polymorph energy (0 for the lowest one) is 0 meV/atom.